Here is a relaxed BaTeAuN2 crystal from Alexandria via LeMat-Bulk. Energies are from GGA-PBEsol.

```
5
Lattice="4.372 0.000 0.000 0.000 4.372 0.000 0.000 0.000 7.149" Properties=species:S:1:pos:R:3 pbc="T T T"
Ba 0.000 0.000 0.000
Te 0.000 0.000 3.575
Au 2.186 2.186 3.575
N 0.000 2.186 0.000
N 2.186 0.000 0.000
```

Size of the total moment = 2.307 μB/f.u.
Calculated volume = 27.3 Å³/atom
Formation energy (no corrections) = 815 kJ/mol of formula units
VASP energy = -3.64 eV/atom

=====

Here is a relaxed BaNa2Au2 crystal from Alexandria via LeMat-Bulk. Energies are from GGA-PBEsol.

```
5
Lattice="-2.219 2.219 6.935 2.219 -2.219 6.935 2.219 2.219 -6.935" Properties=species:S:1:pos:R:3 pbc="T T T"
Ba 0.000 0.000 0.000
Na 2.219 0.000 3.468
Na 0.000 2.219 3.468
Au 0.000 0.000 5.558
Au 0.000 0.000 8.313
```

Size of the total moment = 0.000 μB/f.u.
Calculated volume = 27.3 Å³/atom
VASP energy = -2.95 eV/atom

=====

Here is a relaxed Ba2NaAu2 crystal from Alexandria via LeMat-Bulk. Energies are from GGA-PBEsol.

```
10
Lattice="8.545 0.000 0.000 0.000 8.545 0.000 0.000 0.000 4.414" Properties=species:S:1:pos:R:3 pbc="T T T"
Ba 1.446 2.827 0.000
Ba 2.827 7.099 0.000
Ba 5.718 1.446 0.000
Ba 7.099 5.718 0.000
Na 0.000 0.000 2.207
Na 4.272 4.272 2.207
Au 1.055 5.327 2.207
Au 3.217 1.055 2.207
Au 5.327 7.490 2.207
Au 7.490 3.217 2.207
```

Size of the total moment = 0.000 μB/f.u.
Calculated volume = 32.2 Å³/atom
VASP energy = -3.24 eV/atom

=====

Here is a relaxed BaNb2AuS crystal from Alexandria via LeMat-Bulk. Energies are from GGA-PBEsol.

```
5
Lattice="4.604 0.000 0.000 0.000 4.604 0.000 0.000 0.000 5.758" Properties=species:S:1:pos:R:3 pbc="T T T"
Ba 0.000 0.000 0.000
Nb 0.000 2.302 2.879
Nb 2.302 0.000 2.879
Au 2.302 2.302 0.000
S 0.000 0.000 2.879
```

Size of the total moment = 1.309 μB/f.u.
Calculated volume = 24.4 Å³/atom
Formation energy (no corrections) = 93 kJ/mol of formula units
VASP energy = -6.23 eV/atom

=====

Here is a relaxed BaNiAu2 crystal from Alexandria via LeMat-Bulk. Energies are from GGA-PBEsol.

```
4
Lattice="2.845 -3.356 0.000 2.845 3.356 0.000 0.000 0.000 4.396" Properties=species:S:1:pos:R:3 pbc="T T T"
Ba 0.000 0.000 0.000
Ni 2.845 0.000 0.000
Au 1.423 1.678 2.198
Au 1.423 -1.678 2.198
```

Size of the total moment = 0.001 μB/f.u.
Calculated volume = 21.0 Å³/atom
VASP energy = -3.92 eV/atom

=====

Here is a relaxed BaNiAu crystal from Alexandria via LeMat-Bulk. Energies are from GGA-PBEsol.

```
3
Lattice="-1.782 1.782 5.370 1.782 -1.782 5.370 1.782 1.782 -5.370" Properties=species:S:1:pos:R:3 pbc="T T T"
Ba 0.000 0.000 0.000
Ni 0.000 0.000 2.904
Au 0.000 0.000 7.678
```

Size of the total moment = 0.010 μB/f.u.
Calculated volume = 22.7 Å³/atom
VASP energy = -4.09 eV/atom

=====

Here is a relaxed BaYNi2Au crystal from Alexandria via LeMat-Bulk. Energies are from GGA-PBEsol.

```
5
Lattice="4.877 0.000 0.000 0.000 4.877 0.000 0.000 0.000 5.446" Properties=species:S:1:pos:R:3 pbc="T T T"
Ba 0.000 0.000 0.000
Y 2.439 2.439 0.000
Ni 0.000 2.439 2.723
Ni 2.439 0.000 2.723
Au 0.000 0.000 2.723
```

Size of the total moment = 0.313 μB/f.u.
Calculated volume = 25.9 Å³/atom
VASP energy = -4.27 eV/atom

=====

Here is a relaxed Ba3AuO crystal from Alexandria via LeMat-Bulk. Energies are from GGA-PBEsol.

```
5
Lattice="5.354 0.000 0.000 0.000 5.354 0.000 0.000 0.000 5.354" Properties=species:S:1:pos:R:3 pbc="T T T"
Ba 0.000 0.000 2.677
Ba 0.000 2.677 0.000
Ba 2.677 0.000 0.000
Au 2.677 2.677 2.677
O 0.000 0.000 0.000
```

Size of the total moment = 0.001 μB/f.u.
Calculated volume = 30.7 Å³/atom
Formation energy (no corrections) = -558 kJ/mol of formula units
Polymorph energy (0 for the lowest one) = 0.00 eV/f.u.
VASP energy = -4.28 eV/atom

=====

Here is a relaxed BaAu3O crystal from Alexandria via LeMat-Bulk. Energies are from GGA-PBEsol.

```
5
Lattice="4.696 0.000 0.000 0.000 4.696 0.000 0.000 0.000 4.696" Properties=species:S:1:pos:R:3 pbc="T T T"
Ba 0.000 0.000 0.000
Au 0.000 2.348 2.348
Au 2.348 0.000 2.348
Au 2.348 2.348 0.000
O 2.348 2.348 2.348
```

Size of the total moment = 0.001 μB/f.u.
Calculated volume = 20.7 Å³/atom
Formation energy (no corrections) = -3 kJ/mol of formula units
VASP energy = -3.84 eV/atom

=====

Here is a relaxed BaAuO2 crystal from Alexandria via LeMat-Bulk. Energies are from GGA-PBEsol.

```
8
Lattice="3.660 -5.061 0.000 3.660 5.061 0.000 -0.012 0.000 3.864" Properties=species:S:1:pos:R:3 pbc="T T T"
Ba 1.830 2.531 0.000
Ba 1.830 -2.531 0.000
Au -0.006 0.000 1.932
Au 3.654 0.000 1.932
O 3.654 3.047 1.932
O 1.840 0.000 2.799
O 5.468 0.000 1.065
O 3.654 -3.047 1.932
```

Size of the total moment = 0.000 μB/f.u.
Calculated volume = 17.9 Å³/atom
Formation energy (no corrections) = -558 kJ/mol of formula units
VASP energy = -5.59 eV/atom

=====

Here is a relaxed BaAuO2 crystal from Alexandria via LeMat-Bulk. Energies are from GGA-PBEsol.

```
8
Lattice="-2.430 2.430 6.400 2.430 -2.430 6.400 2.430 2.430 -6.400" Properties=species:S:1:pos:R:3 pbc="T T T"
Ba 0.000 0.000 0.000
Ba 0.000 2.430 3.200
Au 2.430 0.000 3.200
Au 0.000 0.000 6.400
O 1.215 -0.800 4.800
O 1.630 1.215 1.600
O 1.215 3.230 -1.600
O 0.800 1.215 8.000
```

Size of the total moment = 0.000 μB/f.u.
Calculated volume = 18.9 Å³/atom
Formation energy (no corrections) = -390 kJ/mol of formula units
VASP energy = -5.15 eV/atom

=====

Here is a relaxed Ba2OsAu crystal from Alexandria via LeMat-Bulk. Energies are from GGA-PBEsol.

```
4
Lattice="-2.271 2.479 5.574 2.271 -2.479 5.574 2.271 2.479 -5.574" Properties=species:S:1:pos:R:3 pbc="T T T"
Ba 0.000 0.000 0.000
Ba 0.000 2.479 2.484
Os 2.271 0.000 3.759
Au 0.000 0.000 4.785
```

Size of the total moment = 0.000 μB/f.u.
Calculated volume = 31.4 Å³/atom
Polymorph energy (0 for the lowest one) = 0.00 eV/f.u.
VASP energy = -4.73 eV/atom